A geometry-optimized SnBRhO2 structure, computed with PBE-GGA.

Structure (POSCAR):
```
SnBRhO2
1.0
4.115 0.000 0.000
0.000 4.115 0.000
0.000 0.000 3.974
Sn B Rh O
1 1 1 2
Direct
0.000 0.000 0.000
0.500 0.500 0.000
0.500 0.500 0.500
0.000 0.500 0.500
0.500 0.000 0.500
```

Calculated values
- ΔE to the lowest computed polymorph (eV/atom) = 0.000
- mass density (Mg/m³) = 6.5
- raw formation energy (meV/atom) = 113
- size of the total moment (μB/atom) = 0.00
- calculated total energy (eV per atom) = -5.477